(1)
## Dy2LuTl (PBE)

Data for crystalline Dy2LuTl at its relaxed geometry.

Summary:
- Energy of formation from the pure elements: -0.155 eV/atom
- Spin magnetization: 0.000 μB/f.u.
- Total DFT energy (no corrections): -0.307 Ry/atom
- Density: 9.96 g/cm3
- Fermi-level density of states: 4.9 states/eV per cell
- Space group: P4/mmm

abc: 3.5654 3.5654 9.2348
angles: 90.00 90.00 90.00
Element x y z (fractional)
Lu: 0.5000 0.5000 0.5000
Dy: 0.0000 0.0000 0.2350
Dy: 0.0000 0.0000 0.7650
Tl: 0.5000 0.5000 0.0000

---

(2)
## PmTlTe2 (PBE)

Data for crystalline PmTlTe2 at its relaxed geometry.

Summary:
- Spin magnetization: 0.000 μB/f.u.
- Total DFT energy (no corrections): -0.303 Ry/atom
- Density: 8.24 g/cm3
- Fermi-level density of states: 1.2 states/eV per cell
- Space group: P4/mmm
- ΔE_f (raw): -3.1 eV/f.u.

abc: 4.0614 5.4769 5.4769
angles: 90.00 90.00 90.00
Element x y z (fractional)
Tl: 0.5000 0.5000 0.5000
Pm: 0.5000 0.0000 0.0000
Te: 0.0000 0.0000 0.5000
Te: 0.0000 0.5000 0.0000

---

(3)
## DyYMgHg (PBE)

Data for crystalline DyYMgHg at its relaxed geometry.

Summary:
- Energy of formation from the pure elements: -0.295 eV/atom
- Spin magnetization: 0.000 μB/f.u.
- Total DFT energy (no corrections): -0.260 Ry/atom
- Density: 7.49 g/cm3
- Fermi-level density of states: 4.5 states/eV per cell
- Space group: P4mm

abc: 3.7829 3.7829 7.3812
angles: 90.00 90.00 90.00
Element x y z (fractional)
Mg: 0.5000 0.5000 0.6059
Y: 0.0000 0.0000 0.8604
Dy: 0.0000 0.0000 0.3520
Hg: 0.5000 0.5000 0.1097